1.
Material: La5Y
Method: DFT, GGA-PBE
State: relaxed

```
6
Lattice="5.241 0.000 0.000 2.620 7.843 0.000 0.000 0.000 5.245" Properties=species:S:1:pos:R:3 pbc="T T T"
La 2.620 2.172 0.000
La 5.241 7.408 2.623
La 2.620 4.785 2.623
La 5.241 2.186 2.623
La 5.241 4.801 0.000
Y 2.620 7.408 0.000
```

Results
Formation enthalpy at 0 K (meV per atom): 14
Total energy (eV per cell): -31.0
Symmetry: Cmmm
ρ (Mg/m³): 6.0
Energy relative to the lowest polymorph listed for this composition (meV/atom): 0

2.
Material: Tb5Tm12Tc3
Method: DFT, GGA-PBE
State: relaxed

```
80
Lattice="-10.962 -1.642 10.388 -5.867 -1.854 -13.890 10.812 -10.406 2.360" Properties=species:S:1:pos:R:3 pbc="T T T"
Tb -7.834 -6.293 -0.005
Tb 0.000 0.000 0.000
Tb -9.282 -5.250 -5.071
Tb -0.867 -3.502 -3.320
Tb 2.473 -6.130 -5.765
Tb -1.716 -5.498 -8.234
Tb -5.149 -10.400 2.178
Tb 3.265 -8.652 3.929
Tb -2.933 -0.927 -6.945
Tb -6.522 -3.333 -9.261
Tb 5.406 -5.203 1.180
Tb -4.226 -2.380 0.718
Tb -5.481 -0.821 5.194
Tb -1.791 -11.522 -1.860
Tb -4.301 -8.404 7.092
Tb 1.817 -7.610 -1.137
Tb 0.506 -10.569 8.120
Tb -8.415 -1.748 -1.751
Tb -3.008 -6.951 -0.571
Tb -0.075 -6.024 6.374
Tm 5.457 -9.777 -3.462
Tm -1.242 -10.154 -7.029
Tm -6.485 -10.873 -0.747
Tm 4.071 -9.912 -0.703
Tm 1.952 -11.515 -7.289
Tm -3.236 -1.353 -3.899
Tm -4.237 -3.057 -11.556
Tm 3.389 -9.066 -6.066
Tm -10.087 -3.991 -0.438
Tm 0.468 -3.029 -0.395
Tm 7.899 -9.816 3.205
Tm 1.899 -11.584 3.605
Tm -6.589 -6.181 6.470
Tm -0.551 -7.844 1.078
Tm -1.996 -4.681 1.266
Tm -5.466 -6.059 -2.219
Tm -0.512 -11.243 1.116
Tm -1.979 -7.935 4.866
Tm -9.405 -4.836 4.925
Tm -7.916 -2.318 -4.747
Tm -4.180 -9.407 -5.488
Tm -11.473 -4.126 2.321
Tm -4.774 -3.749 5.887
Tm -13.916 -4.087 -4.347
Tm -4.037 -5.967 -6.008
Tm -2.259 -6.433 -3.524
Tm -5.290 -2.819 -6.298
Tm -9.097 -9.265 -0.367
Tm 3.080 -4.637 -0.775
Tm -1.780 -10.845 10.414
Tm -11.682 -5.678 -2.922
Tm -2.781 -12.550 2.757
Tm -6.888 -7.400 -4.612
Tm -2.887 -5.820 -11.248
Tm -1.836 -4.495 4.347
Tm 5.666 -8.224 1.780
Tm -0.727 -11.083 5.156
Tm 0.573 -7.721 -7.611
Tm 0.669 -8.047 -4.146
Tm -5.505 -2.659 -2.257
Tm -7.969 -2.387 6.147
Tm -6.489 -2.771 3.018
Tm -3.758 -7.470 2.382
Tm -6.685 -5.855 3.004
Tm -3.130 -8.082 10.107
Tm 0.871 -6.502 3.471
Tm 0.472 -11.131 -4.160
Tm -4.020 -9.221 -2.408
Tc -1.753 -8.510 -5.047
Tc 3.054 -10.675 -4.019
Tc -9.070 -3.227 2.877
Tc 1.606 -9.632 -9.085
Tc -6.597 -9.358 -2.887
Tc 0.581 -4.545 1.746
Tc -0.942 -9.526 3.054
Tc -5.074 -4.376 -4.196
Tc -12.641 -4.128 -1.033
Tc -7.622 -4.270 7.943
Tc 6.624 -9.774 -0.109
Tc -4.263 -5.392 3.905
```

Results
Formation enthalpy at 0 K (meV per atom): 902
Total energy (eV per cell): -359.4
Symmetry: Ia-3d
ρ (Mg/m³): 7.7

3.
Material: TaGaRh
Method: DFT, GGA-PBE
State: relaxed

```
3
Lattice="2.838 0.000 0.000 0.000 4.353 0.000 0.000 -2.177 3.770" Properties=species:S:1:pos:R:3 pbc="T T T"
Ga 0.474 2.177 1.257
Rh 0.472 0.000 0.000
Ta 1.892 0.000 2.513
```

Results
Formation enthalpy at 0 K (meV per atom): -498
Total energy (eV per cell): -23.7
Symmetry: P-6m2
ρ (Mg/m³): 12.6

4.
Material: LiSc2Tl
Method: DFT, GGA-PBE
State: relaxed

```
4
Lattice="5.522 0.002 0.000 2.059 5.123 0.000 -3.790 -2.563 3.091" Properties=species:S:1:pos:R:3 pbc="T T T"
Li 2.761 0.001 1.546
Tl 3.790 2.563 0.000
Sc 0.000 0.000 0.000
Sc 1.029 2.562 1.546
```

Results
Formation enthalpy at 0 K (meV per atom): -58
Total energy (eV per cell): -17.2
Symmetry: I-4m2
ρ (Mg/m³): 5.7

5.
Material: CaZr2AlS
Method: DFT, GGA-PBE
State: relaxed

```
5
Lattice="4.859 0.000 0.000 0.000 5.057 0.000 0.000 0.000 4.859" Properties=species:S:1:pos:R:3 pbc="T T T"
Zr 0.000 0.000 2.430
Zr 2.430 0.000 0.000
Ca 0.000 2.528 0.000
S 0.000 0.000 0.000
Al 2.430 2.528 2.430
```

Results
E_form (uncorrected) (eV/atom): -0.447
Total energy (eV per cell): -29.2
Symmetry: P4/mmm
ρ (Mg/m³): 3.9

6.
Material: CsAsAu2
Method: DFT, GGA-PBE
State: relaxed

```
16
Lattice="-1.135 -2.777 3.766 -5.030 -3.967 -4.443 10.866 -9.553 -3.771" Properties=species:S:1:pos:R:3 pbc="T T T"
Au -2.596 -7.050 -4.444
Au -0.334 -8.829 -1.996
Au 5.667 -12.217 -5.764
Au -0.965 -4.081 1.316
Au -0.082 -5.066 -2.222
Au 7.298 -9.248 -0.004
Au 5.036 -7.468 -2.452
Au 4.784 -11.232 -2.226
As 4.646 -13.208 -3.725
As -0.219 -7.042 -3.722
As 4.921 -9.255 -0.726
As 0.056 -3.090 -0.723
Cs 8.127 -10.186 -3.524
Cs 2.575 -9.499 -4.692
Cs -3.426 -6.112 -0.924
Cs 2.127 -6.798 0.244
```

Results
Formation enthalpy at 0 K (meV per atom): -395
Total energy (eV per cell): -54.6
Symmetry: Cmcm
ρ (Mg/m³): 7.1

Question: Which of these has the lowest ρ?
Answer: CaZr2AlS

What did the fifth record say?
Material: CaZr2AlS
Method: DFT, GGA-PBE
State: relaxed

```
5
Lattice="4.859 0.000 0.000 0.000 5.057 0.000 0.000 0.000 4.859" Properties=species:S:1:pos:R:3 pbc="T T T"
Zr 0.000 0.000 2.430
Zr 2.430 0.000 0.000
Ca 0.000 2.528 0.000
S 0.000 0.000 0.000
Al 2.430 2.528 2.430
```

Results
E_form (uncorrected) (eV/atom): -0.447
Total energy (eV per cell): -29.2
Symmetry: P4/mmm
ρ (Mg/m³): 3.9